No. 1
## Tb4SmTm3 (PBE-GGA)

Data for crystalline Tb4SmTm3 at its relaxed geometry.

Output
The excess energy over the best structure of this formula in the dataset is 213.7 meV/atom. The value obtained for the uncorrected energy is -4.3597 eV/atom. The formation energy comes out at 0.2221 eV/atom. The spin magnetization is 0.000 μB per formula unit. The calculation puts the density at 8.30 g cm⁻³.

Cell: 5.6194 25.9209 3.5531 Å, 90.00 90.00 90.00°
Space group Cmmm (No. 65)
Inequivalent atoms, fractional coordinates:
Tb1 0.0000 0.1047 0.0000 [4 per cell]
Tb2 0.0000 0.2239 0.0000 [4 per cell]
Sm1 0.0000 0.0000 0.5000 [2 per cell]
Tm1 0.0000 0.3448 0.5000 [4 per cell]
Tm2 0.0000 0.5000 0.0000 [2 per cell]

No. 2
## Tb8Sm4Tm3 (PBE-GGA)

Data for crystalline Tb8Sm4Tm3 at its relaxed geometry.

Output
The value obtained for the uncorrected energy is -4.2460 eV/atom. The formation energy comes out at 0.3762 eV/atom. The spin magnetization is 0.137 μB per formula unit. The calculation puts the density at 7.89 g cm⁻³.

Cell: 13.3962 12.7834 6.7527 Å, 90.00 120.04 90.00°
Space group C2/m (No. 12)
Inequivalent atoms, fractional coordinates:
Tb1 0.0000 0.1401 0.0000 [4 per cell]
Tb2 0.0000 0.2455 0.5000 [4 per cell]
Tb3 0.2281 0.0000 0.4558 [4 per cell]
Tb4 0.2346 0.0000 0.9842 [4 per cell]
Sm1 0.0000 0.5000 0.0000 [2 per cell]
Sm2 0.0000 0.5000 0.5000 [2 per cell]
Sm3 0.2500 0.2500 0.5000 [4 per cell]
Tm1 0.0000 0.0000 0.5000 [2 per cell]
Tm2 0.2500 0.2500 0.0000 [4 per cell]

- Look up the uncorrected energy of the first one.
  -4.3597 eV/atom

- What is the spin magnetization in the first record?
  0.000 μB per formula unit

- What is the formula in the first record?
  Tb4SmTm3